A plane-wave DFT calculation with GGA-PBE was carried out for a geometry-optimized Nd3DyZn2 structure.

a b c (Å): 3.683 3.683 12.358
angles (deg): 90.00 90.00 90.00
Atoms (fractional coordinates):
1 Zn 0.500 0.500 0.148
2 Zn 0.500 0.500 0.852
3 Nd 0.000 0.000 0.295
4 Nd 0.000 0.000 0.705
5 Nd 0.000 0.000 0.000
6 Dy 0.500 0.500 0.500

Output
As for the energy above the most stable polymorph in this dataset: 0 meV/atom. The space-group type is P4/mmm, No. 123. The calculation puts the density of states at the Fermi level at 5.9 states/eV per cell. The calculation puts the total magnetization at 0.0 μB per formula unit. The crystal system is tetragonal. The calculation puts the energy of formation from the pure elements at -4.5 kcal/mol of atoms.